Record 1
Y2NiHg meta-GGA SCAN PBEsol geometry; volume = 22.4 A^3/atom; energy of formation = -1.0 eV/f.u.
1.0
3.460 0.000 0.000
0.000 3.460 0.000
0.000 0.000 7.468
Y Hg Ni
2 1 1
direct
0.000 0.000 0.931
0.500 0.500 0.296
0.000 0.000 0.541
0.500 0.500 0.732

=====

Record 2
Y2NiHg meta-GGA SCAN PBEsol geometry; volume = 21.5 A^3/atom; energy of formation = -2.2 eV/f.u.
1.0
-1.523 2.988 -0.814
-1.512 -1.510 -2.710
-5.646 -1.754 4.128
Y Hg Ni
2 1 1
direct
0.000 0.000 0.778
0.000 0.000 0.222
0.500 0.500 0.500
0.500 0.500 0.000

=====

Record 3
Y2NiHg meta-GGA SCAN PBEsol geometry; volume = 24.0 A^3/atom; energy of formation = -1.7 eV/f.u.
1.0
3.858 0.000 0.000
1.929 3.341 0.000
1.929 1.114 7.443
Hg Ni Y
1 1 2
direct
0.000 0.000 0.000
0.500 0.500 0.500
0.234 0.234 0.297
0.766 0.766 0.703

=====

Record 4
Y3NiHg meta-GGA SCAN PBEsol geometry; volume = 33.0 A^3/atom; energy of formation = 2.7 eV/f.u.
1.0
5.484 0.000 0.000
0.000 5.484 0.000
0.000 0.000 5.484
Y Ni Hg
3 1 1
direct
0.500 0.000 0.000
0.000 0.000 0.500
0.000 0.500 0.000
0.500 0.500 0.500
0.000 0.000 0.000

=====

Record 5
Zn2NiHg meta-GGA SCAN PBEsol geometry; volume = 14.3 A^3/atom; energy of formation = 0.2 eV/f.u.
1.0
3.775 0.000 0.000
0.000 3.775 0.000
-1.887 -1.887 4.019
Hg Zn Ni
1 2 1
direct
0.500 0.500 0.000
0.000 0.000 0.000
0.750 0.250 0.500
0.250 0.750 0.500

=====

Record 6
ZnNi2Hg meta-GGA SCAN PBEsol geometry; volume = 13.7 A^3/atom; energy of formation = 0.7 eV/f.u.
1.0
2.811 0.000 0.000
-1.405 4.058 0.027
0.000 -0.994 4.789
Ni Hg Zn
2 1 1
direct
0.744 0.489 0.713
0.256 0.511 0.287
0.500 0.000 0.000
0.000 0.000 0.500

=====

Record 7
Zn2NiHg meta-GGA SCAN PBEsol geometry; volume = 14.5 A^3/atom; energy of formation = 0.3 eV/f.u.
1.0
-2.377 0.183 -1.714
1.385 -1.971 -2.132
-2.454 -4.843 2.884
Zn Ni Hg
2 1 1
direct
0.500 0.500 0.216
0.000 0.000 0.975
0.500 0.500 0.794
0.000 0.000 0.515

=====

Record 8
ZnNiHg meta-GGA SCAN PBEsol geometry; volume = 16.7 A^3/atom; energy of formation = 1.0 eV/f.u.
1.0
4.134 0.000 0.000
2.067 3.580 0.000
2.067 1.193 3.376
Zn Ni Hg
1 1 1
direct
0.250 0.250 0.250
0.500 0.500 0.500
0.000 0.000 0.000

=====

Record 9
ZrNiHg2 meta-GGA SCAN PBEsol geometry; volume = 17.7 A^3/atom; energy of formation = -0.4 eV/f.u.
1.0
4.643 0.000 0.000
0.000 4.647 0.000
-2.321 -2.324 3.288
Zr Hg Ni
1 2 1
direct
0.000 0.500 0.000
0.250 0.250 0.500
0.750 0.750 0.500
0.500 0.000 0.000

=====

Record 10
ZrNiHg3 meta-GGA SCAN PBEsol geometry; volume = 31.5 A^3/atom; energy of formation = 5.9 eV/f.u.
1.0
-2.808 -4.603 0.258
1.476 -0.612 5.156
-4.367 2.753 1.576
Hg Ni Zr
3 1 1
direct
0.000 0.500 0.000
0.000 0.000 0.500
0.500 0.000 0.000
0.500 0.500 0.500
0.000 0.000 0.000

=====

Record 11
HgPOsO2 meta-GGA SCAN PBEsol geometry; volume = 14.6 A^3/atom; formation energy without anion corrections = -0.380 eV/atom
1.0
3.756 0.000 0.000
0.000 3.756 0.000
0.000 0.000 5.177
O P Hg Os
2 1 1 1
direct
0.500 0.000 0.000
0.000 0.500 0.000
0.000 0.000 0.500
0.500 0.500 0.500
0.000 0.000 0.000

=====

Record 12
Hg9P4O16 meta-GGA SCAN PBEsol geometry; volume = 14.6 A^3/atom; formation energy without anion corrections = -1.394 eV/atom
1.0
-9.114 1.390 -4.372
-0.802 -7.534 6.835
2.577 8.566 4.909
Hg P O
18 8 32
direct
0.820 0.541 0.595
0.220 0.846 0.322
0.095 0.041 0.320
0.322 0.220 0.846
0.013 0.651 0.907
0.346 0.720 0.822
0.513 0.407 0.151
0.320 0.095 0.041
0.595 0.820 0.541
0.407 0.151 0.513
0.822 0.346 0.720
0.151 0.513 0.407
0.846 0.322 0.220
0.651 0.907 0.013
0.907 0.013 0.651
0.720 0.822 0.346
0.541 0.595 0.820
0.041 0.320 0.095
0.121 0.327 0.618
0.618 0.121 0.327
0.827 0.621 0.118
0.118 0.827 0.621
0.621 0.118 0.827
0.327 0.618 0.121
0.444 0.444 0.444
0.944 0.944 0.944
0.490 0.634 0.134
0.019 0.265 0.690
0.134 0.490 0.634
0.990 0.634 0.134
0.289 0.347 0.707
0.012 0.083 0.909
0.721 0.546 0.940
0.909 0.012 0.083
0.512 0.409 0.583
0.789 0.207 0.847
0.083 0.909 0.012
0.583 0.512 0.409
0.940 0.721 0.546
0.765 0.519 0.190
0.046 0.221 0.440
0.301 0.301 0.301
0.634 0.134 0.490
0.347 0.707 0.289
0.801 0.801 0.801
0.519 0.190 0.765
0.221 0.440 0.046
0.190 0.765 0.519
0.690 0.019 0.265
0.634 0.134 0.990
0.409 0.583 0.512
0.707 0.289 0.347
0.546 0.940 0.721
0.265 0.690 0.019
0.440 0.046 0.221
0.134 0.990 0.634
0.207 0.847 0.789
0.847 0.789 0.207

=====

Record 13
Hg3PO4 meta-GGA SCAN PBEsol geometry; volume = 16.3 A^3/atom; formation energy without anion corrections = -1.299 eV/atom
1.0
5.039 0.000 0.000
0.000 8.626 -0.031
0.000 -1.155 11.986
O Hg P
16 12 4
direct
0.063 0.032 0.270
0.482 0.871 0.284
0.528 0.903 0.836
0.544 0.848 0.623
0.472 0.097 0.164
0.028 0.597 0.664
0.956 0.348 0.123
0.937 0.968 0.730
0.563 0.468 0.230
0.518 0.129 0.716
0.044 0.652 0.877
0.982 0.629 0.216
0.018 0.371 0.784
0.456 0.152 0.377
0.437 0.532 0.770
0.972 0.403 0.336
0.160 0.179 0.623
0.660 0.321 0.877
0.342 0.310 0.043
0.658 0.690 0.957
0.158 0.810 0.543
0.354 0.460 0.415
0.340 0.679 0.123
0.842 0.190 0.457
0.646 0.540 0.585
0.840 0.821 0.377
0.146 0.960 0.915
0.854 0.040 0.085
0.870 0.461 0.226
0.630 0.961 0.726
0.370 0.039 0.274
0.130 0.539 0.774

=====

Record 14
Hg3P2O8 meta-GGA SCAN PBEsol geometry; volume = 13.8 A^3/atom; formation energy without anion corrections = -1.520 eV/atom
1.0
-4.754 1.499 -4.069
1.332 -9.433 -2.428
-7.756 -3.131 7.908
O Hg P
32 12 8
direct
0.485 0.279 0.594
0.082 0.031 0.705
0.102 0.137 0.441
0.695 0.084 0.439
0.854 0.296 0.641
0.918 0.969 0.295
0.354 0.296 0.859
0.305 0.916 0.561
0.820 0.497 0.190
0.015 0.721 0.094
0.180 0.503 0.810
0.418 0.969 0.205
0.646 0.704 0.141
0.602 0.137 0.059
0.254 0.549 0.522
0.871 0.221 0.280
0.629 0.779 0.780
0.320 0.497 0.310
0.146 0.704 0.359
0.371 0.221 0.220
0.246 0.451 0.022
0.985 0.279 0.906
0.195 0.084 0.061
0.515 0.721 0.406
0.805 0.916 0.939
0.582 0.031 0.795
0.898 0.863 0.559
0.746 0.451 0.478
0.129 0.779 0.720
0.754 0.549 0.978
0.398 0.863 0.941
0.680 0.503 0.690
0.329 0.699 0.105
0.915 0.654 0.833
0.171 0.301 0.605
0.415 0.654 0.667
0.829 0.699 0.395
0.676 0.040 0.620
0.824 0.960 0.120
0.176 0.040 0.880
0.671 0.301 0.895
0.585 0.346 0.333
0.324 0.960 0.380
0.085 0.346 0.167
0.691 0.389 0.601
0.309 0.611 0.399
0.404 0.104 0.133
0.596 0.896 0.867
0.096 0.896 0.633
0.809 0.611 0.101
0.904 0.104 0.367
0.191 0.389 0.899

=====

Record 15
HgP2PtO meta-GGA SCAN PBEsol geometry; energy above the lowest structure with this stoichiometry = 4.65 eV per formula unit; volume = 18.5 A^3/atom; formation energy without anion corrections = 1.375 eV/atom
1.0
3.867 0.000 0.000
0.000 4.886 0.000
0.000 0.000 4.886
P Hg O Pt
2 1 1 1
direct
0.000 0.000 0.500
0.000 0.500 0.000
0.000 0.000 0.000
0.500 0.000 0.000
0.500 0.500 0.500

=====

Record 16
HgP2PtO meta-GGA SCAN PBEsol geometry; energy above the lowest structure with this stoichiometry = 0.00 eV per formula unit; volume = 17.5 A^3/atom; formation energy without anion corrections = 0.446 eV/atom
1.0
-1.356 0.288 3.458
-1.460 -4.621 -0.188
4.275 -1.423 1.794
Hg O Pt P
1 1 1 2
direct
0.500 0.500 0.500
0.500 0.000 0.000
0.000 0.000 0.000
0.000 0.500 0.000
0.000 0.000 0.500

=====

Record 17
HgPPtO2 meta-GGA SCAN PBEsol geometry; volume = 16.5 A^3/atom; formation energy without anion corrections = 1.055 eV/atom
1.0
-3.365 -1.185 1.602
-0.801 -2.074 -3.217
2.523 -4.280 2.131
P O Hg Pt
1 2 1 1
direct
0.000 0.000 0.500
0.500 0.000 0.000
0.000 0.500 0.000
0.000 0.000 0.000
0.500 0.500 0.500

=====

Record 18
HgP2RuO meta-GGA SCAN PBEsol geometry; volume = 23.9 A^3/atom; formation energy without anion corrections = 2.148 eV/atom
1.0
4.787 0.000 0.000
0.000 4.787 0.000
0.000 0.000 5.209
Hg Ru O P
1 1 1 2
direct
0.000 0.000 0.000
0.000 0.000 0.500
0.500 0.500 0.500
0.000 0.500 0.000
0.500 0.000 0.000

=====

Record 19
ScHgP2O meta-GGA SCAN PBEsol geometry; volume = 19.4 A^3/atom; formation energy without anion corrections = 0.388 eV/atom
1.0
4.049 0.000 0.000
0.000 4.890 0.000
0.000 0.000 4.890
P Hg O Sc
2 1 1 1
direct
0.000 0.000 0.500
0.000 0.500 0.000
0.000 0.000 0.000
0.500 0.000 0.000
0.500 0.500 0.500

=====

Record 20
SiHgPO2 meta-GGA SCAN PBEsol geometry; volume = 16.4 A^3/atom; formation energy without anion corrections = 0.878 eV/atom
1.0
-0.344 2.506 -3.128
-4.004 -0.076 0.380
0.224 3.965 3.152
Si P O Hg
1 1 2 1
direct
0.500 0.500 0.500
0.000 0.000 0.500
0.000 0.500 0.000
0.500 0.000 0.000
0.000 0.000 0.000

=====

Record 21
TcHg2PO meta-GGA SCAN PBEsol geometry; volume = 18.3 A^3/atom; formation energy without anion corrections = 0.640 eV/atom
1.0
-2.157 2.772 -1.000
-2.954 -3.196 -2.485
-2.761 -0.658 4.130
P O Hg Tc
1 1 2 1
direct
0.500 0.500 0.500
0.000 0.000 0.000
0.000 0.500 0.000
0.000 0.000 0.500
0.500 0.000 0.000

=====

Record 22
HgTePO2 meta-GGA SCAN PBEsol geometry; volume = 17.1 A^3/atom; formation energy without anion corrections = 0.633 eV/atom
1.0
-0.459 1.331 3.867
3.594 -1.725 1.020
2.386 4.271 -1.187
O Hg Te P
2 1 1 1
direct
0.500 0.000 0.000
0.000 0.500 0.000
0.000 0.000 0.000
0.500 0.500 0.500
0.000 0.000 0.500